No. 1
Pm2Dy3Tm3: optimized geometry, PBE.

- Crystal system: orthorhombic
- Energy relative to the lowest polymorph listed for this composition: 0 meV/atom
- SG: Immm (71)
- Energy of formation: 0.2 eV/f.u.
- Calculated total energy: -4.5666 eV/atom
- Total magnetization: 0.0 μB/f.u.

Unit cell a=5.023 b=5.026 c=10.622 alpha=103.68 beta=103.68 gamma=90.00
Element x y z (fractional)
Tm  0.877  0.877  0.754
Tm  0.123  0.123  0.246
Tm  0.000  0.500  0.000
Dy  0.623  0.623  0.246
Dy  0.377  0.377  0.754
Dy  0.500  0.000  0.000
Pm  0.750  0.250  0.500
Pm  0.250  0.750  0.500



No. 2
Pm3Dy5Tm4: optimized geometry, PBE.

- Crystal system: triclinic
- Energy relative to the lowest polymorph listed for this composition: 0 meV/atom
- SG: P-1 (2)
- Energy of formation: 0.2 eV/f.u.
- Calculated total energy: -4.5764 eV/atom
- Total magnetization: 0.0 μB/f.u.

Unit cell a=7.100 b=11.223 c=12.791 alpha=151.28 beta=56.34 gamma=129.28
Element x y z (fractional)
Dy  0.252  0.499  0.999
Dy  0.334  0.668  0.834
Dy  0.666  0.332  0.166
Dy  0.748  0.501  0.001
Dy  0.500  0.000  0.500
Tm  0.166  0.332  0.166
Tm  0.834  0.668  0.834
Tm  0.917  0.834  0.668
Tm  0.083  0.166  0.332
Pm  0.414  0.831  0.666
Pm  0.000  0.000  0.500
Pm  0.586  0.169  0.334



No. 3
PmDy5Tm2: optimized geometry, PBE.

- Crystal system: triclinic
- Energy relative to the lowest polymorph listed for this composition: 24 meV/atom
- SG: P-1 (2)
- Energy of formation: 0.3 eV/f.u.
- Calculated total energy: -4.5460 eV/atom
- Total magnetization: 0.0 μB/f.u.

Unit cell a=8.399 b=15.856 c=10.030 alpha=83.29 beta=100.38 gamma=157.17
Element x y z (fractional)
Dy  0.521  0.810  0.056
Dy  0.050  0.890  0.639
Dy  0.950  0.110  0.361
Dy  0.479  0.190  0.944
Dy  0.268  0.057  0.308
Dy  0.546  0.388  0.140
Dy  0.704  0.360  0.610
Dy  0.732  0.943  0.692
Dy  0.296  0.640  0.390
Dy  0.454  0.612  0.860
Tm  0.019  0.307  0.558
Tm  0.796  0.139  0.887
Tm  0.981  0.693  0.442
Tm  0.204  0.861  0.113
Pm  0.228  0.441  0.192
Pm  0.772  0.559  0.808



No. 4
Pm7Dy2Tm2: optimized geometry, PBE.

- Crystal system: orthorhombic
- Energy relative to the lowest polymorph listed for this composition: 13 meV/atom
- SG: Imm2 (44)
- Energy of formation: 1.2 eV/f.u.
- Calculated total energy: -4.5604 eV/atom
- Total magnetization: 0.0 μB/f.u.

Unit cell a=5.631 b=8.170 c=9.434 alpha=115.66 beta=107.36 gamma=90.00
Element x y z (fractional)
Pm  0.865  0.783  0.730
Pm  0.135  0.052  0.270
Pm  0.337  0.460  0.674
Pm  0.500  0.921  0.000
Pm  0.663  0.786  0.326
Pm  0.867  0.193  0.735
Pm  0.133  0.458  0.265
Dy  0.701  0.323  0.402
Dy  0.299  0.920  0.598
Tm  0.500  0.337  0.000
Tm  0.000  0.622  0.000



> What is the formula in the second record?

Pm3Dy5Tm4